{"formula": "CuNi2Ir", "functional": "PBE-GGA", "state": "relaxed", "lattice_angstrom": [[4.4539, -0.0164, 0.0000], [1.4602, 4.2078, 0.0000], [-2.9570, -2.0957, 2.5887]], "species": ["Ni", "Ni", "Ir", "Cu"], "frac_coords": [[0.0000, 0.0000, 0.0000], [0.5000, 0.5000, 0.0000], [0.7500, 0.2500, 0.5000], [0.2500, 0.7500, 0.5000]], "energy_ev_per_atom": -6.060}